Entry 1:
Below is a relaxed structure of ErTmGaAu, with properties calculated at the GGA-PBE level.

Cell lengths 5.039, 5.039, 5.039 Å; angles 60.00, 60.00, 60.00 degrees
Fractional coordinates of all 4 atoms:
Tm (0.500, 0.500, 0.500)
Er (0.000, 0.000, 0.000)
Ga (0.250, 0.250, 0.250)
Au (0.750, 0.750, 0.750)

Calculated values
energy relative to the lowest polymorph listed for this composition: 23 meV per atom
D(E_F): 2.11 states/eV/cell
energy of formation: -714 meV per atom
theoretical density: 11.066 g/cm³

---

Entry 2:
Below is a relaxed structure of Na2BeGeTe4, with properties calculated at the GGA-PBE level.

Cell lengths 7.143, 7.143, 7.106 Å; angles 120.17, 120.17, 90.02 degrees
Fractional coordinates of all 8 atoms:
Te (0.056, 0.131, 0.750)
Te (0.694, 0.619, 0.750)
Te (0.853, 0.416, 0.194)
Te (0.341, 0.778, 0.194)
Be (0.986, 0.486, 0.972)
Ge (0.736, 0.736, 0.472)
Na (0.236, 0.236, 0.471)
Na (0.486, 0.986, 0.971)

Calculated values
raw formation energy: -10.74 kcal/mol of atoms
theoretical density: 4.154 g/cm³

---

Entry 3:
Below is a relaxed structure of Ta5Mo3, with properties calculated at the GGA-PBE level.

Cell lengths 3.243, 22.682, 10.744 Å; angles 14.24, 63.08, 55.12 degrees
Fractional coordinates of all 8 atoms:
Mo (0.989, 0.003, 0.000)
Mo (0.003, 0.374, 0.000)
Mo (0.010, 0.123, 0.000)
Ta (0.996, 0.751, 0.000)
Ta (0.014, 0.497, 0.000)
Ta (0.985, 0.879, 0.000)
Ta (0.002, 0.624, 0.000)
Ta (0.001, 0.250, 0.000)

Calculated values
energy relative to the lowest polymorph listed for this composition: 68 meV per atom
D(E_F): 12.29 states/eV/cell
energy of formation: -105 meV per atom
theoretical density: 14.372 g/cm³

---

Entry 4:
Below is a relaxed structure of Cu2PtCl, with properties calculated at the GGA-PBE level.

Cell lengths 4.993, 4.993, 4.993 Å; angles 135.75, 135.75, 64.36 degrees
Fractional coordinates of all 4 atoms:
Cu (0.000, 0.000, 0.000)
Cu (0.250, 0.750, 0.500)
Pt (0.500, 0.500, 0.000)
Cl (0.750, 0.250, 0.500)

Calculated values
energy relative to the lowest polymorph listed for this composition: 424 meV per atom
raw formation energy: 8.79 kcal/mol of atoms
D(E_F): 1.84 states/eV/cell
theoretical density: 9.938 g/cm³

---

Entry 5:
Below is a relaxed structure of ZnAg2Rh, with properties calculated at the GGA-PBE level.

Cell lengths 4.753, 2.868, 4.754 Å; angles 86.91, 90.00, 90.00 degrees
Fractional coordinates of all 4 atoms:
Zn (0.500, 0.750, 0.750)
Ag (0.000, 0.516, 0.501)
Ag (0.000, 0.984, 0.999)
Rh (0.500, 0.250, 0.250)

Calculated values
D(E_F): 2.97 states/eV/cell
energy of formation: 72 meV per atom
theoretical density: 9.855 g/cm³

---

Entry 6:
Below is a relaxed structure of Sc2TiZnO, with properties calculated at the GGA-PBE level.

Cell lengths 4.357, 4.357, 4.144 Å; angles 90.00, 90.00, 90.00 degrees
Fractional coordinates of all 5 atoms:
Sc (0.000, 0.500, 0.000)
Sc (0.500, 0.000, 0.000)
O (0.000, 0.000, 0.000)
Ti (0.000, 0.000, 0.500)
Zn (0.500, 0.500, 0.500)

Calculated values
raw formation energy: -29.85 kcal/mol of atoms
D(E_F): 3.80 states/eV/cell
theoretical density: 4.627 g/cm³

---

Entry 7:
Below is a relaxed structure of Tl16HgPb12, with properties calculated at the GGA-PBE level.

Cell lengths 10.719, 10.719, 10.521 Å; angles 109.35, 109.35, 110.16 degrees
Fractional coordinates of all 29 atoms:
Tl (0.651, 0.997, 0.000)
Tl (0.686, 0.002, 0.407)
Tl (0.357, 0.357, 0.352)
Tl (0.000, 0.410, 0.688)
Tl (0.410, 0.000, 0.688)
Tl (0.720, 0.311, 0.310)
Tl (0.688, 0.409, 0.004)
Tl (0.998, 0.998, 0.648)
Tl (0.593, 0.283, 0.595)
Tl (0.313, 0.313, 0.719)
Tl (0.311, 0.720, 0.310)
Tl (0.997, 0.651, 0.000)
Tl (0.001, 0.001, 0.002)
Tl (0.002, 0.686, 0.407)
Tl (0.283, 0.593, 0.595)
Tl (0.409, 0.688, 0.004)
Pb (0.372, 0.190, 0.998)
Pb (0.003, 0.376, 0.192)
Pb (0.190, 0.372, 0.998)
Pb (0.813, 0.625, 0.620)
Pb (0.189, 0.000, 0.374)
Pb (0.625, 0.813, 0.620)
Pb (0.806, 0.806, 0.193)
Pb (0.376, 0.003, 0.192)
Pb (0.808, 0.183, 0.809)
Pb (0.627, 0.627, 0.818)
Pb (0.000, 0.189, 0.374)
Pb (0.183, 0.808, 0.809)
Hg (0.589, 0.589, 0.276)

Calculated values
D(E_F): 11.88 states/eV/cell
energy of formation: 3 meV per atom
theoretical density: 10.691 g/cm³

---

Entry 8:
Below is a relaxed structure of TlS3Cl2, with properties calculated at the GGA-PBE level.

Cell lengths 3.509, 5.173, 20.669 Å; angles 94.08, 84.06, 70.47 degrees
Fractional coordinates of all 12 atoms:
Cl (0.111, 0.356, 0.210)
Cl (0.273, 0.210, 0.928)
Cl (0.889, 0.644, 0.790)
Cl (0.727, 0.790, 0.072)
Tl (0.695, 0.308, 0.112)
Tl (0.305, 0.692, 0.888)
S (0.598, 0.370, 0.395)
S (0.067, 0.297, 0.605)
S (0.266, 0.037, 0.395)
S (0.933, 0.703, 0.395)
S (0.402, 0.630, 0.605)
S (0.734, 0.963, 0.605)

Calculated values
raw formation energy: -1.03 kcal/mol of atoms
D(E_F): 3.35 states/eV/cell
theoretical density: 3.530 g/cm³

---

Entry 9:
Below is a relaxed structure of BaTaCoPt2, with properties calculated at the GGA-PBE level.

Cell lengths 4.761, 4.784, 4.761 Å; angles 90.00, 90.00, 90.00 degrees
Fractional coordinates of all 5 atoms:
Ta (0.500, 0.500, 0.500)
Pt (0.500, 0.000, 0.000)
Pt (0.000, 0.000, 0.500)
Co (0.000, 0.000, 0.000)
Ba (0.000, 0.500, 0.000)

Calculated values
D(E_F): 12.27 states/eV/cell
energy of formation: 1198 meV per atom
theoretical density: 11.752 g/cm³

---

Entry 10:
Below is a relaxed structure of Li2Ac2Sn5, with properties calculated at the GGA-PBE level.

Cell lengths 4.855, 4.855, 10.406 Å; angles 90.00, 90.00, 90.00 degrees
Fractional coordinates of all 9 atoms:
Sn (0.500, 0.000, 0.254)
Sn (0.500, 0.500, 0.500)
Sn (0.500, 0.000, 0.746)
Sn (0.000, 0.500, 0.746)
Sn (0.000, 0.500, 0.254)
Li (0.500, 0.500, 0.875)
Li (0.500, 0.500, 0.125)
Ac (0.000, 0.000, 0.000)
Ac (0.000, 0.000, 0.500)

Calculated values
D(E_F): 4.24 states/eV/cell
energy of formation: -453 meV per atom
theoretical density: 7.187 g/cm³

---

Entry 11:
Below is a relaxed structure of Pa4AsS3, with properties calculated at the GGA-PBE level.

Cell lengths 4.012, 6.805, 6.805 Å; angles 69.58, 90.00, 90.00 degrees
Fractional coordinates of all 8 atoms:
S (0.500, 0.000, 0.500)
S (0.000, 0.500, 0.500)
S (0.000, 0.000, 0.000)
As (0.500, 0.500, 0.000)
Pa (0.500, 0.757, 0.257)
Pa (0.500, 0.243, 0.743)
Pa (0.000, 0.764, 0.736)
Pa (0.000, 0.236, 0.264)

Calculated values
raw formation energy: -33.68 kcal/mol of atoms
D(E_F): 13.64 states/eV/cell
theoretical density: 10.445 g/cm³

---

Entry 12:
Below is a relaxed structure of Cs2NaNiCl6, with properties calculated at the GGA-PBE level.

Cell lengths 6.672, 7.328, 7.328 Å; angles 120.00, 90.00, 90.00 degrees
Fractional coordinates of all 10 atoms:
Ni (0.000, 0.000, 0.000)
Cl (0.203, 0.301, 0.151)
Cl (0.797, 0.151, 0.301)
Cl (0.203, 0.849, 0.699)
Cl (0.203, 0.849, 0.151)
Cl (0.797, 0.151, 0.849)
Cl (0.797, 0.699, 0.849)
Na (0.500, 0.000, 0.000)
Cs (0.791, 0.667, 0.333)
Cs (0.209, 0.333, 0.667)

Calculated values
raw formation energy: -31.52 kcal/mol of atoms
D(E_F): 5.43 states/eV/cell
theoretical density: 2.998 g/cm³